## 1
! BeSO2 PBEsol optimized geometry; values from VASP
&SYSTEM
  ibrav = 0, nat = 4, ntyp = 3
/
ATOMIC_SPECIES
Be 9.01 Be.upf
S 32.06 S.upf
O 16.00 O.upf
CELL_PARAMETERS angstrom
0.000 2.612 2.612
2.612 0.000 2.612
2.612 2.612 0.000
ATOMIC_POSITIONS crystal
Be 0.000 0.000 0.000
S 0.500 0.500 0.500
O 0.250 0.250 0.250
O 0.750 0.750 0.750
! DOS(E_F): 1.78 states/eV/cell
! Crystal system: cubic

---

## 2
! BeSO2 PBEsol optimized geometry; values from VASP
&SYSTEM
  ibrav = 0, nat = 8, ntyp = 3
/
ATOMIC_SPECIES
Be 9.01 Be.upf
S 32.06 S.upf
O 16.00 O.upf
CELL_PARAMETERS angstrom
-2.280 2.280 3.711
2.280 -2.280 3.711
2.280 2.280 -3.711
ATOMIC_POSITIONS crystal
Be 0.000 0.000 0.000
Be 0.750 0.250 0.500
S 0.250 0.750 0.500
S 0.500 0.500 0.000
O 0.024 0.125 0.399
O 0.375 0.976 0.101
O 0.726 0.625 0.601
O 0.875 0.274 0.899
! DOS(E_F): 2.05 states/eV/cell
! Crystal system: tetragonal

---

Least stable of them? 1.

---

## 1
! Sc2BeO PBEsol optimized geometry; values from VASP
&SYSTEM
  ibrav = 0, nat = 4, ntyp = 3
/
ATOMIC_SPECIES
Sc 44.96 Sc.upf
Be 9.01 Be.upf
O 16.00 O.upf
CELL_PARAMETERS angstrom
1.778 1.026 7.054
-1.778 1.026 7.054
0.000 -2.053 7.054
ATOMIC_POSITIONS crystal
Sc 0.088 0.088 0.088
Sc 0.912 0.912 0.912
Be 0.500 0.500 0.500
O 0.000 0.000 0.000
! DOS(E_F): 2.34 states/eV/cell
! Crystal system: trigonal

---

## 2
! Sc2BeO PBEsol optimized geometry; values from VASP
&SYSTEM
  ibrav = 0, nat = 4, ntyp = 3
/
ATOMIC_SPECIES
Sc 44.96 Sc.upf
Be 9.01 Be.upf
O 16.00 O.upf
CELL_PARAMETERS angstrom
0.000 3.023 3.023
3.023 0.000 3.023
3.023 3.023 0.000
ATOMIC_POSITIONS crystal
Sc 0.250 0.250 0.250
Sc 0.750 0.750 0.750
Be 0.000 0.000 0.000
O 0.500 0.500 0.500
! DOS(E_F): 5.41 states/eV/cell
! Crystal system: cubic

---

Least stable of them? 2.

---

## 1
! BeSeO2 PBEsol optimized geometry; values from VASP
&SYSTEM
  ibrav = 0, nat = 4, ntyp = 3
/
ATOMIC_SPECIES
Be 9.01 Be.upf
Se 78.96 Se.upf
O 16.00 O.upf
CELL_PARAMETERS angstrom
1.389 0.802 5.674
-1.389 0.802 5.674
0.000 -1.604 5.674
ATOMIC_POSITIONS crystal
Be 0.000 0.000 0.000
Se 0.500 0.500 0.500
O 0.388 0.388 0.388
O 0.612 0.612 0.612
! DOS(E_F): 0.58 states/eV/cell
! Crystal system: trigonal

---

## 2
! BeSeO2 PBEsol optimized geometry; values from VASP
&SYSTEM
  ibrav = 0, nat = 4, ntyp = 3
/
ATOMIC_SPECIES
Be 9.01 Be.upf
Se 78.96 Se.upf
O 16.00 O.upf
CELL_PARAMETERS angstrom
0.000 2.698 2.698
2.698 0.000 2.698
2.698 2.698 0.000
ATOMIC_POSITIONS crystal
Be 0.000 0.000 0.000
Se 0.500 0.500 0.500
O 0.250 0.250 0.250
O 0.750 0.750 0.750
! DOS(E_F): 1.53 states/eV/cell
! Crystal system: cubic

---

Least stable of them? 2.

---

## 1
! Be2Os PBEsol optimized geometry; values from VASP
&SYSTEM
  ibrav = 0, nat = 12, ntyp = 2
/
ATOMIC_SPECIES
Be 9.01 Be.upf
Os 190.23 Os.upf
CELL_PARAMETERS angstrom
5.246 0.000 0.000
0.000 2.928 0.000
0.000 0.000 7.850
ATOMIC_POSITIONS crystal
Be 0.112 0.250 0.080
Be 0.133 0.250 0.724
Be 0.367 0.750 0.224
Be 0.388 0.750 0.580
Be 0.612 0.250 0.420
Be 0.633 0.250 0.776
Be 0.867 0.750 0.276
Be 0.888 0.750 0.920
Os 0.150 0.250 0.401
Os 0.350 0.750 0.901
Os 0.650 0.250 0.099
Os 0.850 0.750 0.599
! DOS(E_F): 2.37 states/eV/cell
! Crystal system: orthorhombic

---

## 2
! Be2Os PBEsol optimized geometry; values from VASP
&SYSTEM
  ibrav = 0, nat = 6, ntyp = 2
/
ATOMIC_SPECIES
Be 9.01 Be.upf
Os 190.23 Os.upf
CELL_PARAMETERS angstrom
0.000 3.056 3.056
3.056 0.000 3.056
3.056 3.056 0.000
ATOMIC_POSITIONS crystal
Be 0.000 0.000 0.000
Be 0.000 0.000 0.500
Be 0.000 0.500 0.000
Be 0.500 0.000 0.000
Os 0.375 0.375 0.375
Os 0.625 0.625 0.625
! DOS(E_F): 3.01 states/eV/cell
! Crystal system: cubic

---

## 3
! Be2Os PBEsol optimized geometry; values from VASP
&SYSTEM
  ibrav = 0, nat = 3, ntyp = 2
/
ATOMIC_SPECIES
Be 9.01 Be.upf
Os 190.23 Os.upf
CELL_PARAMETERS angstrom
3.593 0.000 0.000
-1.797 3.112 0.000
0.000 0.000 2.642
ATOMIC_POSITIONS crystal
Be 0.333 0.667 0.000
Be 0.667 0.333 0.000
Os 0.000 0.000 0.500
! DOS(E_F): 1.66 states/eV/cell
! Crystal system: hexagonal

---

Least stable of them? 3.